Record 1
## AgSbH4O2F6 (PBE-GGA)

Data for a relaxed AgSbH4O2F6 crystal.

As for the uncorrected energy: -4.560 eV per atom. The space group is P-1. The crystal system is triclinic.

a = 6.3017 Å, b = 7.3209 Å, c = 10.5710 Å
α = 95.77°, β = 97.11°, γ = 113.19°
Closest atoms and distances in Å follow each position.
Element x y z (fractional)
1 Ag 0.0000 0.0000 0.0000  2 O 2.25
2 Ag 0.2649 0.4948 0.5286  4 O 2.28-2.44
3 Ag 0.7351 0.5052 0.4714  4 O 2.28-2.44
4 Sb 0.0000 0.5000 0.0000  6 F 1.90-1.92
5 Sb 0.3034 0.0544 0.7034  6 F 1.90-1.93
6 Sb 0.6966 0.9456 0.2966  6 F 1.90-1.93
7 H 0.0505 0.5366 0.2915  1 O 0.98
8 H 0.1549 0.7627 0.3588  1 O 0.98
9 H 0.3239 0.1891 0.3669  1 O 0.98
10 H 0.3651 0.3162 0.2555  1 O 0.99
11 H 0.4368 0.3283 0.0583  1 O 0.98
12 H 0.4593 0.1403 0.1079  1 O 0.99
13 H 0.5407 0.8597 0.8921  1 O 0.99
14 H 0.5632 0.6717 0.9417  1 O 0.98
15 H 0.6349 0.6838 0.7445  1 O 0.99
16 H 0.6761 0.8109 0.6331  1 O 0.98
17 H 0.8451 0.2373 0.6412  1 O 0.98
18 H 0.9495 0.4634 0.7085  1 O 0.98
19 O 0.0665 0.6245 0.3717  2 H 0.98
20 O 0.3597 0.2159 0.1034  2 H 0.98-0.99
21 O 0.3694 0.3270 0.3502  2 H 0.98-0.99
22 O 0.6306 0.6730 0.6498  2 H 0.98-0.99
23 O 0.6403 0.7841 0.8966  2 H 0.98-0.99
24 O 0.9335 0.3755 0.6283  2 H 0.98
25 F 0.0229 0.0628 0.7481  1 Sb 1.91
26 F 0.0281 0.3845 0.1524  1 H 1.71
27 F 0.1411 0.7750 0.6362  1 Sb 1.90
28 F 0.1808 0.7628 0.0947  1 Sb 1.90
29 F 0.2367 0.1168 0.5364  1 Sb 1.91, 1 H 2.00
30 F 0.2777 0.4789 0.9580  2 H 1.84-2.05, 1 Sb 1.92
31 F 0.3678 0.9824 0.8705  1 H 1.67
32 F 0.4181 0.9654 0.3403  2 H 1.79-1.96, 1 Sb 1.92
33 F 0.4753 0.3322 0.7719  1 Sb 1.90
34 F 0.5247 0.6678 0.2281  1 Sb 1.90
35 F 0.5819 0.0346 0.6597  2 H 1.79-1.96, 1 Sb 1.92
36 F 0.6322 0.0176 0.1295  1 H 1.67
37 F 0.7223 0.5211 0.0420  2 H 1.84-2.05, 1 Sb 1.92
38 F 0.7633 0.8832 0.4636  1 Sb 1.91, 1 H 2.00
39 F 0.8192 0.2372 0.9053  1 Sb 1.90
40 F 0.8589 0.2250 0.3638  1 Sb 1.90
41 F 0.9719 0.6155 0.8476  1 H 1.71
42 F 0.9771 0.9372 0.2519  1 Sb 1.91

Record 2
## ZrFeAgBi (PBE-GGA)

Data for a relaxed ZrFeAgBi crystal.

As for the uncorrected energy: -5.661 eV per atom. The space group is F-43m. The crystal system is cubic.

a = 4.7467 Å, b = 4.7467 Å, c = 4.7467 Å
α = 60.00°, β = 60.00°, γ = 60.00°
Closest atoms and distances in Å follow each position.
Element x y z (fractional)
1 Zr 0.0000 0.0000 0.0000  4 Ag 2.91, 4 Bi 2.91
2 Fe 0.5000 0.5000 0.5000  4 Ag 2.91, 4 Bi 2.91
3 Ag 0.7500 0.7500 0.7500  4 Fe 2.91, 4 Zr 2.91
4 Bi 0.2500 0.2500 0.2500  4 Zr 2.91, 4 Fe 2.91

Record 3
## RbSmCd (PBE-GGA)

Data for a relaxed RbSmCd crystal.

As for the uncorrected energy: -1.516 eV per atom. The space group is F-43m. The crystal system is cubic.

a = 5.5234 Å, b = 5.5234 Å, c = 5.5234 Å
α = 60.00°, β = 60.00°, γ = 60.00°
Closest atoms and distances in Å follow each position.
Element x y z (fractional)
1 Rb 0.0000 0.0000 0.0000  4 Sm 3.38
2 Sm 0.7500 0.7500 0.7500  4 Cd 3.38, 4 Rb 3.38
3 Cd 0.5000 0.5000 0.5000  4 Sm 3.38

Record 4
## AcZrTe (PBE-GGA)

Data for a relaxed AcZrTe crystal.

As for the uncorrected energy: -5.391 eV per atom. The space group is F-43m. The crystal system is cubic.

a = 5.2111 Å, b = 5.2111 Å, c = 5.2111 Å
α = 60.00°, β = 60.00°, γ = 60.00°
Closest atoms and distances in Å follow each position.
Element x y z (fractional)
1 Ac 0.0000 0.0000 0.0000  4 Te 3.19
2 Zr 0.5000 0.5000 0.5000  4 Te 3.19
3 Te 0.2500 0.2500 0.2500  4 Zr 3.19, 4 Ac 3.19

Record 5
## PmNiW (PBE-GGA)

Data for a relaxed PmNiW crystal.

As for the uncorrected energy: -6.958 eV per atom. The space group is F-43m. For the formation energy, the calculation gives 0.80 eV per atom. The crystal system is cubic.

a = 4.4444 Å, b = 4.4444 Å, c = 4.4444 Å
α = 60.00°, β = 60.00°, γ = 60.00°
Closest atoms and distances in Å follow each position.
Element x y z (fractional)
1 Pm 0.0000 0.0000 0.0000  4 Ni 2.72
2 Ni 0.2500 0.2500 0.2500  4 W 2.72, 4 Pm 2.72
3 W 0.5000 0.5000 0.5000  4 Ni 2.72

Record 6
## RbLuZn (PBE-GGA)

Data for a relaxed RbLuZn crystal.

As for the uncorrected energy: -1.107 eV per atom. The space group is F-43m. The crystal system is cubic.

a = 5.4849 Å, b = 5.4849 Å, c = 5.4849 Å
α = 60.00°, β = 60.00°, γ = 60.00°
Closest atoms and distances in Å follow each position.
Element x y z (fractional)
1 Rb 0.0000 0.0000 0.0000  4 Zn 3.36, 4 Lu 3.36
2 Lu 0.7500 0.7500 0.7500  4 Rb 3.36
3 Zn 0.2500 0.2500 0.2500  4 Rb 3.36

Record 7
## TaCuNiPb (PBE-GGA)

Data for a relaxed TaCuNiPb crystal.

As for the uncorrected energy: -5.835 eV per atom. The space group is F-43m. The crystal system is cubic.

a = 4.4929 Å, b = 4.4929 Å, c = 4.4929 Å
α = 60.00°, β = 60.00°, γ = 60.00°
Closest atoms and distances in Å follow each position.
Element x y z (fractional)
1 Ta 0.0000 0.0000 0.0000  4 Ni 2.75, 4 Cu 2.75
2 Cu 0.7500 0.7500 0.7500  4 Pb 2.75, 4 Ta 2.75
3 Ni 0.2500 0.2500 0.2500  4 Pb 2.75, 4 Ta 2.75
4 Pb 0.5000 0.5000 0.5000  4 Cu 2.75, 4 Ni 2.75

Record 8
## Tm2PBrF (PBE-GGA)

Data for a relaxed Tm2PBrF crystal.

As for the uncorrected energy: -5.758 eV per atom. The space group is P3m1. The crystal system is trigonal.

a = 3.8176 Å, b = 3.8176 Å, c = 8.2886 Å
α = 90.00°, β = 90.00°, γ = 120.00°
Closest atoms and distances in Å follow each position.
Element x y z (fractional)
1 Tm 0.0000 0.0000 0.0000  3 P 2.68, 3 Br 2.90
2 Tm 0.3333 0.6667 0.6291  3 F 2.38
3 P 0.6667 0.3333 0.8169  6 Tm 2.68-2.70
4 Br 0.3333 0.6667 0.2268  3 Tm 2.90
5 F 0.0000 0.0000 0.5205  3 Tm 2.38